Entry 1:
VASP calculation (SCAN) on a PBEsol-optimized structure of La2CoAg.

a b c (Å): 3.4910 3.4910 7.5139
angles (deg): 90.00 90.00 90.07
Positions (direct):
Co 0.5000 0.5000 0.0000
Ag 0.5000 0.5000 0.5000
La 0.0000 0.0000 0.7830
La 0.0000 0.0000 0.2170

Properties
- E_form: -0.143 eV per atom
- Space-group type: P4/mmm (123)

***

Entry 2:
VASP calculation (SCAN) on a PBEsol-optimized structure of ScMo5.

a b c (Å): 3.1361 3.1361 9.7487
angles (deg): 90.00 90.00 90.00
Positions (direct):
Mo 0.5000 0.5000 0.6625
Mo 0.0000 0.0000 0.8136
Mo 0.0000 0.0000 0.1864
Mo 0.0000 0.0000 0.5000
Mo 0.5000 0.5000 0.3375
Sc 0.5000 0.5000 0.0000

Properties
- E_form: 0.059 eV per atom
- Offset from the most stable computed form: 0.024 eV/atom
- Space-group type: P4/mmm (123)

***

Entry 3:
VASP calculation (SCAN) on a PBEsol-optimized structure of YAg3.

a b c (Å): 4.7797 6.1531 6.1531
angles (deg): 119.80 90.00 90.00
Positions (direct):
Y 0.2500 0.6658 0.3342
Ag 0.2500 0.6886 0.8452
Ag 0.2500 0.1567 0.8433
Y 0.7500 0.3342 0.6658
Ag 0.7500 0.8452 0.6886
Ag 0.2500 0.1548 0.3114
Ag 0.7500 0.8433 0.1567
Ag 0.7500 0.3114 0.1548

Properties
- E_form: -0.251 eV per atom
- Space-group type: Cmcm (63)

***

Entry 4:
VASP calculation (SCAN) on a PBEsol-optimized structure of MnAlP2O.

a b c (Å): 3.3674 4.6010 4.6010
angles (deg): 90.00 90.00 90.00
Positions (direct):
Al 0.5000 0.5000 0.5000
Mn 0.0000 0.0000 0.0000
P 0.0000 0.0000 0.5000
O 0.5000 0.0000 0.0000
P 0.0000 0.5000 0.0000

Properties
- Energy relative to the elements, uncorrected: -182.7 meV/atom
- Offset from the most stable computed form: 0.173 eV/atom
- Space-group type: P4/mmm (123)